1.
The following is a PBE calculation of a geometry-optimized Re2WAu2 structure, from Alexandria via LeMat-Bulk.

```
data_Re2WAu2
_chemical_formula_sum 'Re4 W2 Au4'
_space_group_name_H-M_alt 'P 4/m b m'
_space_group_IT_number 127
_space_group_name_Hall '-P 4 2ab'
_cell_length_a 6.5810
_cell_length_b 6.5810
_cell_length_c 4.0624
_cell_angle_alpha 90.00
_cell_angle_beta 90.00
_cell_angle_gamma 90.00
loop_
_atom_site_label
_atom_site_type_symbol
_atom_site_fract_x
_atom_site_fract_y
_atom_site_fract_z
Re1 Re 0.1311 0.3689 0.0000
W1 W 0.0000 0.0000 0.0000
Au1 Au 0.1714 0.6714 0.5000
```

Results
Magnetic moment, μB per formula unit: 0.000
Energy of formation, eV/atom: 0.8280
Electronic total energy, eV/atom: -8.053

***

2.
The following is a PBE calculation of a geometry-optimized NdDyMg3 structure, from Alexandria via LeMat-Bulk.

```
data_NdDyMg3
_chemical_formula_sum 'Nd8 Dy8 Mg24'
_space_group_name_H-M_alt 'C 1 2/c 1'
_space_group_IT_number 15
_cell_length_a 19.9872
_cell_length_b 15.8836
_cell_length_c 3.5340
_cell_angle_alpha 90.00
_cell_angle_beta 90.15
_cell_angle_gamma 90.00
loop_
_space_group_symop_operation_xyz
'x,y,z'
'-x,-y,-z'
'-x,y,-z+1/2'
'x,-y,z+1/2'
'x+1/2,y+1/2,z'
'-x+1/2,-y+1/2,-z'
'-x+1/2,y+1/2,-z+1/2'
'x+1/2,-y+1/2,z+1/2'
loop_
_atom_site_label
_atom_site_type_symbol
_atom_site_fract_x
_atom_site_fract_y
_atom_site_fract_z
Nd1 Nd 0.2195 0.1008 0.2486
Dy1 Dy 0.0000 0.2267 0.2500
Dy2 Dy 0.0000 0.4109 0.7500
Mg1 Mg 0.0766 0.0783 0.7473
Mg2 Mg 0.1376 0.4241 0.2509
Mg3 Mg 0.1427 0.2636 0.7516
```

Results
Magnetic moment, μB per formula unit: 0.000
Energy above the most stable polymorph in this dataset, kJ/mol of formula units: 0
Energy of formation, eV/atom: 0.0245
Electronic total energy, eV/atom: -2.806

***

3.
The following is a PBE calculation of a geometry-optimized MnFeCu structure, from Alexandria via LeMat-Bulk.

```
data_MnFeCu
_chemical_formula_sum 'Mn2 Fe2 Cu2'
_space_group_name_H-M_alt 'I 4 m m'
_space_group_IT_number 107
_space_group_name_Hall 'I 4 -2'
_cell_length_a 2.5819
_cell_length_b 2.5819
_cell_length_c 11.2532
_cell_angle_alpha 90.00
_cell_angle_beta 90.00
_cell_angle_gamma 90.00
loop_
_atom_site_label
_atom_site_type_symbol
_atom_site_fract_x
_atom_site_fract_y
_atom_site_fract_z
Mn1 Mn 0.0000 0.0000 0.0000
Fe1 Fe 0.0000 0.0000 0.3331
Cu1 Cu 0.0000 0.0000 0.6696
```

Results
Magnetic moment, μB per formula unit: 5.964
Energy above the most stable polymorph in this dataset, kJ/mol of formula units: 19
Energy of formation, eV/atom: 0.2033
Electronic total energy, eV/atom: -7.039

***

4.
The following is a PBE calculation of a geometry-optimized SrMo2W structure, from Alexandria via LeMat-Bulk.

```
data_SrMo2W
_chemical_formula_sum 'Sr2 Mo4 W2'
_space_group_name_H-M_alt 'C m m 2'
_space_group_IT_number 35
_cell_length_a 3.2980
_cell_length_b 4.6420
_cell_length_c 9.9139
_cell_angle_alpha 90.00
_cell_angle_beta 90.00
_cell_angle_gamma 90.00
loop_
_space_group_symop_operation_xyz
'x,y,z'
'-x,-y,z'
'-x,y,z'
'x,-y,z'
'x+1/2,y+1/2,z'
'-x+1/2,-y+1/2,z'
'-x+1/2,y+1/2,z'
'x+1/2,-y+1/2,z'
loop_
_atom_site_label
_atom_site_type_symbol
_atom_site_fract_x
_atom_site_fract_y
_atom_site_fract_z
Sr1 Sr 0.0000 0.0000 0.0000
Mo1 Mo 0.0000 0.0000 0.4999
Mo2 Mo 0.0000 0.5000 0.2878
W1 W 0.0000 0.5000 0.7135
```

Results
Magnetic moment, μB per formula unit: 0.000
Energy above the most stable polymorph in this dataset, kJ/mol of formula units: 10
Energy of formation, eV/atom: 0.7298
Electronic total energy, eV/atom: -8.345

***

5.
The following is a PBE calculation of a geometry-optimized Tm2InCo structure, from Alexandria via LeMat-Bulk.

```
data_Tm2InCo
_chemical_formula_sum 'Tm2 In1 Co1'
_space_group_name_H-M_alt 'P 4/m m m'
_space_group_IT_number 123
_space_group_name_Hall '-P 4 2'
_cell_length_a 4.9440
_cell_length_b 4.9440
_cell_length_c 3.6261
_cell_angle_alpha 90.00
_cell_angle_beta 90.00
_cell_angle_gamma 90.00
loop_
_atom_site_label
_atom_site_type_symbol
_atom_site_fract_x
_atom_site_fract_y
_atom_site_fract_z
Tm1 Tm 0.0000 0.5000 0.0000
In1 In 0.0000 0.0000 0.5000
Co1 Co 0.5000 0.5000 0.5000
```

Results
Magnetic moment, μB per formula unit: 0.649
Energy above the most stable polymorph in this dataset, kJ/mol of formula units: 54
Energy of formation, eV/atom: -0.2107
Electronic total energy, eV/atom: -4.907

***

6.
The following is a PBE calculation of a geometry-optimized AlCdSiPd2 structure, from Alexandria via LeMat-Bulk.

```
data_AlCdSiPd2
_chemical_formula_sum 'Al1 Cd1 Si1 Pd2'
_space_group_name_H-M_alt 'P 4/m m m'
_space_group_IT_number 123
_space_group_name_Hall '-P 4 2'
_cell_length_a 4.9815
_cell_length_b 4.9815
_cell_length_c 4.7648
_cell_angle_alpha 90.00
_cell_angle_beta 90.00
_cell_angle_gamma 90.00
loop_
_atom_site_label
_atom_site_type_symbol
_atom_site_fract_x
_atom_site_fract_y
_atom_site_fract_z
Al1 Al 0.0000 0.0000 0.0000
Cd1 Cd 0.0000 0.0000 0.5000
Si1 Si 0.5000 0.5000 0.0000
Pd1 Pd 0.0000 0.5000 0.5000
```

Results
Magnetic moment, μB per formula unit: 0.000
Energy relative to the elements, uncorrected, eV per atom: 0.9844
Electronic total energy, eV/atom: -3.109

***

7.
The following is a PBE calculation of a geometry-optimized PuAlSn2Pd4 structure, from Alexandria via LeMat-Bulk.

```
data_PuAlSn2Pd4
_chemical_formula_sum 'Pu3 Al3 Sn6 Pd12'
_space_group_name_H-M_alt 'R -3 m'
_space_group_IT_number 166
_space_group_name_Hall '-R 3 2"'
_cell_length_a 4.5517
_cell_length_b 4.5517
_cell_length_c 25.4848
_cell_angle_alpha 90.00
_cell_angle_beta 90.00
_cell_angle_gamma 120.00
loop_
_atom_site_label
_atom_site_type_symbol
_atom_site_fract_x
_atom_site_fract_y
_atom_site_fract_z
Pu1 Pu 0.0000 0.0000 0.0000
Al1 Al 0.0000 0.0000 0.5000
Sn1 Sn 0.0000 0.0000 0.2486
Pd1 Pd 0.0000 0.0000 0.1382
Pd2 Pd 0.0000 0.0000 0.4008
```

Results
Magnetic moment, μB per formula unit: 5.476
Energy of formation, eV/atom: -0.5829
Electronic total energy, eV/atom: -6.439

***

8.
The following is a PBE calculation of a geometry-optimized CrPd3Ru structure, from Alexandria via LeMat-Bulk.

```
data_CrPd3Ru
_chemical_formula_sum 'Cr1 Pd3 Ru1'
_space_group_name_H-M_alt 'P m -3 m'
_space_group_IT_number 221
_space_group_name_Hall '-P 4 2 3'
_cell_length_a 4.7639
_cell_length_b 4.7639
_cell_length_c 4.7639
_cell_angle_alpha 90.00
_cell_angle_beta 90.00
_cell_angle_gamma 90.00
loop_
_atom_site_label
_atom_site_type_symbol
_atom_site_fract_x
_atom_site_fract_y
_atom_site_fract_z
Cr1 Cr 0.0000 0.0000 0.0000
Pd1 Pd 0.0000 0.5000 0.5000
Ru1 Ru 0.5000 0.5000 0.5000
```

Results
Magnetic moment, μB per formula unit: 4.725
Energy above the most stable polymorph in this dataset, kJ/mol of formula units: 9
Energy of formation, eV/atom: 1.3076
Electronic total energy, eV/atom: -5.588